{"formula": "SmCd5In4", "functional": "PBE-GGA", "state": "relaxed", "lattice_angstrom": [[-2.523, 5.099, 5.148], [2.523, -5.099, 5.148], [2.523, 5.099, -5.148]], "species": ["Sm", "Cd", "Cd", "Cd", "Cd", "Cd", "In", "In", "In", "In"], "fractional_positions": [[0.000, 0.000, 0.000], [0.094, 0.823, 0.271], [0.449, 0.177, 0.271], [0.500, 0.000, 0.500], [0.551, 0.823, 0.729], [0.906, 0.177, 0.729], [0.209, 0.500, 0.709], [0.330, 0.330, 0.000], [0.670, 0.670, 0.000], [0.791, 0.500, 0.291]], "e_tot_ev_per_atom": -2.048, "formation_energy_ev_per_atom": -0.024}